A relaxed structure of SrAl2In. Source: Alexandria, functional PBE.

Cell: 4.9085 3.6395 5.8723 Å, 89.99 90.00 90.00°
Atoms (fractional coordinates):
1 Al 0.0000 0.2503 0.5047
2 Al 0.0000 0.2497 0.9953
3 In 0.5000 0.2500 0.2500
4 Sr 0.5000 0.7500 0.7500

Output
space-group type: Pmmm (47)
energy above the most stable polymorph in this dataset: 165 meV/atom
uncorrected energy: -3.00 eV/atom
ΔE_f: -0.02 eV/atom

A relaxed structure of Sr2AlIn2. Source: Alexandria, functional PBE.

Cell: 7.6856 7.6856 5.3015 Å, 90.00 90.00 90.00°
Atoms (fractional coordinates):
1 Sr 0.1738 0.6738 0.5000
2 Sr 0.8262 0.3262 0.5000
3 Sr 0.6738 0.8262 0.5000
4 Sr 0.3262 0.1738 0.5000
5 Al 0.5000 0.5000 0.0000
6 Al 0.0000 0.0000 0.0000
7 In 0.6366 0.1366 0.0000
8 In 0.3634 0.8634 0.0000
9 In 0.8634 0.6366 0.0000
10 In 0.1366 0.3634 0.0000

Output
space-group type: P4/mbm (127)
energy above the most stable polymorph in this dataset: 128 meV/atom
uncorrected energy: -2.77 eV/atom
ΔE_f: -0.25 eV/atom

A relaxed structure of SrAlIn. Source: Alexandria, functional PBE.

Cell: 5.2855 5.0100 7.3149 Å, 110.08 89.99 90.04°
Atoms (fractional coordinates):
1 In 0.8632 0.2687 0.9025
2 In 0.8631 0.9005 0.1672
3 Al 0.1181 0.0844 0.5349
4 Al 0.6079 0.0850 0.5349
5 Sr 0.3631 0.7261 0.8178
6 Sr 0.3630 0.4433 0.2520

Output
space-group type: P2/m (10)
uncorrected energy: -2.92 eV/atom
ΔE_f: -0.20 eV/atom

A relaxed structure of Sr3Al2In2. Source: Alexandria, functional PBE.

Cell: 4.4356 6.6496 9.0573 Å, 113.54 90.00 109.48°
Atoms (fractional coordinates):
1 In 0.9764 0.9528 0.6641
2 In 0.0236 0.0472 0.3359
3 Al 0.8033 0.6066 0.0637
4 Al 0.1967 0.3934 0.9363
5 Sr 0.6936 0.3872 0.6489
6 Sr 0.3064 0.6128 0.3511
7 Sr 0.5000 0.0000 0.0000

Output
space-group type: C2/m (12)
uncorrected energy: -2.90 eV/atom
ΔE_f: -0.33 eV/atom

no.,mass density (g/cm³)
1,4.06
2,4.58
3,4.19
4,3.98